# NaPrPtAu, relaxed, DFT PBE
# ρ ... 10.15 g/cm³
# DFT total energy ... -4.470 eV/atom
data_NaPrPtAu
_chemical_formula_sum 'Na4 Pr4 Pt4 Au4'
_symmetry_space_group_name_H-M 'F -4 3 m'
_symmetry_Int_Tables_number 216
_symmetry_space_group_name_Hall 'F -4 2 3'
_cell_length_a 7.139
_cell_length_b 7.139
_cell_length_c 7.139
_cell_angle_alpha 90.00
_cell_angle_beta 90.00
_cell_angle_gamma 90.00
loop_
_atom_site_label
_atom_site_fract_x
_atom_site_fract_y
_atom_site_fract_z
_atom_site_occupancy
Na1 0.000 0.000 0.000 1
Pr1 0.000 0.000 0.500 1
Pt1 0.250 0.250 0.250 1
Au1 0.250 0.250 0.750 1